No. 1
Crystalline Pm2PrCo at its relaxed geometry, computed with PBE.

Cell and atoms, written as POSCAR:
```
Pm2PrCo
1.0
-3.456 -1.698 -0.440
-1.501 -2.115 2.880
-5.807 6.305 4.213
Pr Pm Co
1 2 1
direct
0.501 0.501 0.497 Pr
0.277 0.277 0.168 Pm
0.055 0.055 0.834 Pm
0.666 0.666 0.001 Co
```

Summary:
Excess energy over the best structure of this formula in the dataset, meV per atom: 100
Magnetization, μB per atom: 0.00
Volume, A^3/atom: 30.2
VASP energy, Ry/atom: -0.3909
E_form, meV per atom: 29
Density of states at the Fermi level, states/eV per atom: 1.189


No. 2
Crystalline Pm2PrCo at its relaxed geometry, computed with PBE.

Cell and atoms, written as POSCAR:
```
Pm2PrCo
1.0
-3.473 0.419 -0.218
-0.228 -2.906 -1.948
-1.086 -5.031 7.634
Pm Pr Co
2 1 1
direct
0.000 0.000 0.821 Pm
0.000 0.000 0.179 Pm
0.500 0.500 0.500 Pr
0.500 0.500 0.000 Co
```

Summary:
Excess energy over the best structure of this formula in the dataset, meV per atom: 97
Magnetization, μB per atom: 0.22
Volume, A^3/atom: 28.3
VASP energy, Ry/atom: -0.3911
E_form, meV per atom: 26
Density of states at the Fermi level, states/eV per atom: 1.026


No. 3
Crystalline PmPrCo at its relaxed geometry, computed with PBE.

Cell and atoms, written as POSCAR:
```
PmPrCo
1.0
-2.654 0.379 -2.221
-2.254 -0.439 2.617
2.462 6.557 0.905
Pr Pm Co
1 1 1
direct
0.040 0.040 0.079 Pr
0.291 0.291 0.583 Pm
0.669 0.669 0.338 Co
```

Summary:
Excess energy over the best structure of this formula in the dataset, meV per atom: 88
Magnetization, μB per atom: 0.21
Volume, A^3/atom: 26.7
VASP energy, Ry/atom: -0.4053
E_form, meV per atom: 31
Density of states at the Fermi level, states/eV per atom: 1.012